1.
Density functional theory data (PBE) for a geometry-optimized LiZnCo2 structure.

Properties
symmetry = No. 44
total magnetic moment = 2.5 Bohr magnetons per cell
total DFT energy (no corrections) = -4.25 eV/atom
DFT formation energy = 100 meV per atom

The structure in extended XYZ format:
```
4
Lattice="-1.352 2.109 4.188 1.352 -2.109 4.188 1.352 2.109 -4.188" Properties=species:S:1:pos:R:3 pbc="T T T"
Li 0.000 0.000 0.000
Zn 1.352 0.000 2.185
Co 0.000 0.000 4.308
Co 0.000 2.109 2.029
```

---

2.
Density functional theory data (PBE) for a geometry-optimized SmY2Ir structure.

Properties
symmetry = No. 63
total magnetic moment = 0.0 Bohr magnetons per cell
total DFT energy (no corrections) = -7.13 eV/atom
DFT formation energy = -504 meV per atom

The structure in extended XYZ format:
```
8
Lattice="1.930 -6.149 0.000 1.930 6.149 0.000 0.000 0.000 9.312" Properties=species:S:1:pos:R:3 pbc="T T T"
Sm 1.930 5.224 6.984
Sm 1.930 -5.224 2.328
Y 1.930 1.745 5.285
Y 1.930 1.745 8.682
Y 1.930 -1.745 0.630
Y 1.930 -1.745 4.026
Ir 1.930 3.086 2.328
Ir 1.930 -3.086 6.984
```